An optimized crystal structure of AlV2P2. Source: Alexandria via LeMat-Bulk, functional GGA-PBE.

Cell: 6.522 6.522 3.086 Å, 90.00 90.00 90.00°
Element x y z (fractional)
P: 0.359 0.859 0.000
P: 0.859 0.641 0.000
P: 0.641 0.141 0.000
P: 0.141 0.359 0.000
Al: 0.000 0.000 0.000
Al: 0.500 0.500 0.000
V: 0.153 0.653 0.500
V: 0.653 0.847 0.500
V: 0.847 0.347 0.500
V: 0.347 0.153 0.500

Values from the calculation:
* crystal system: tetragonal
* formation energy from the elements: -0.458 eV per atom
* electronic total energy: -70.18 eV per cell
* magnetization: 0.00 Bohr magnetons per cell